! K2Cd4Hg3Bi (PBE, relaxed); values from VASP
! - space group = P-4m2, No. 115
! - formation energy (eV per formula unit) = -1.54
&SYSTEM
  ibrav = 0, nat = 10, ntyp = 4
/
ATOMIC_SPECIES
K 39.10 K.upf
Cd 112.41 Cd.upf
Hg 200.59 Hg.upf
Bi 208.98 Bi.upf
CELL_PARAMETERS angstrom
5.2971 0.0000 0.0000
0.0000 5.2971 0.0000
0.0000 0.0000 11.2293
ATOMIC_POSITIONS angstrom
K 0.0000 2.6486 2.7883
K 2.6486 0.0000 8.4410
Cd 0.0000 0.0000 0.0000
Cd 0.0000 2.6486 7.1203
Cd 2.6486 0.0000 4.1089
Cd 2.6486 2.6486 0.0000
Hg 0.0000 2.6486 9.9595
Hg 2.6486 0.0000 1.2698
Hg 2.6486 2.6486 5.6146
Bi 0.0000 0.0000 5.6146